Compound: AcTbSm2Sb4
Source: Alexandria
Functional: GGA-PBE
Structure: optimized geometry

## Properties
Space-group type = P2/m
Energy relative to the elements, uncorrected = -1.15 eV/atom
Density = 7.4 g/cm3

Unit cell a=4.544 b=7.868 c=7.863 alpha=70.59 beta=90.00 gamma=90.00
Element x y z (fractional)
1 Ac 0.500 0.500 0.000
2 Sb 0.500 0.247 0.741
3 Sb 0.000 0.760 0.736
4 Sb 0.000 0.240 0.264
5 Sb 0.500 0.753 0.259
6 Sm 0.000 0.000 0.000
7 Sm 0.500 0.000 0.500
8 Tb 0.000 0.500 0.500

***

Compound: AcTb2SmSb4
Source: Alexandria
Functional: GGA-PBE
Structure: optimized geometry

## Properties
Space-group type = P2/m
Energy relative to the elements, uncorrected = -1.15 eV/atom
Density = 7.5 g/cm3

Unit cell a=4.526 b=7.830 c=7.838 alpha=70.55 beta=90.00 gamma=90.00
Element x y z (fractional)
1 Sb 0.500 0.240 0.746
2 Sb 0.500 0.760 0.254
3 Sb 0.000 0.234 0.263
4 Sb 0.000 0.766 0.737
5 Sm 0.000 0.500 0.500
6 Ac 0.500 0.500 0.000
7 Tb 0.000 0.000 0.000
8 Tb 0.500 0.000 0.500

***

Compound: Ac2SmSb2Te2
Source: Alexandria
Functional: GGA-PBE
Structure: optimized geometry

## Properties
Space-group type = I4/mmm
Energy relative to the elements, uncorrected = -0.94 eV/atom
Density = 6.5 g/cm3

Unit cell a=5.821 b=5.821 c=9.257 alpha=108.32 beta=108.32 gamma=90.00
Element x y z (fractional)
1 Sm 0.000 0.000 0.000
2 Sb 0.500 0.000 0.000
3 Sb 0.000 0.500 0.000
4 Ac 0.622 0.622 0.243
5 Ac 0.378 0.378 0.757
6 Te 0.186 0.186 0.373
7 Te 0.814 0.814 0.627

***

Compound: Ac3SmTh2Sb6
Source: Alexandria
Functional: GGA-PBE
Structure: optimized geometry

## Properties
Space-group type = C2/m
Energy relative to the elements, uncorrected = -1.11 eV/atom
Density = 7.9 g/cm3

Unit cell a=8.019 b=8.019 c=8.071 alpha=99.52 beta=99.52 gamma=120.04
Element x y z (fractional)
1 Sb 0.589 0.923 0.768
2 Sb 0.923 0.589 0.768
3 Sb 0.256 0.256 0.768
4 Sb 0.744 0.744 0.232
5 Sb 0.411 0.077 0.232
6 Sb 0.077 0.411 0.232
7 Th 0.667 0.333 0.000
8 Th 0.333 0.667 0.000
9 Ac 0.833 0.167 0.500
10 Ac 0.500 0.500 0.500
11 Ac 0.167 0.833 0.500
12 Sm 0.000 0.000 0.000

***

Compound: Ac2SmThSb4
Source: Alexandria
Functional: GGA-PBE
Structure: optimized geometry

## Properties
Space-group type = P2/m
Energy relative to the elements, uncorrected = -1.14 eV/atom
Density = 7.8 g/cm3

Unit cell a=4.632 b=8.006 c=8.069 alpha=109.33 beta=90.00 gamma=90.00
Element x y z (fractional)
1 Th 0.000 0.000 0.000
2 Ac 0.500 0.000 0.500
3 Ac 0.000 0.500 0.500
4 Sm 0.500 0.500 0.000
5 Sb 0.500 0.756 0.768
6 Sb 0.000 0.744 0.232
7 Sb 0.000 0.256 0.768
8 Sb 0.500 0.244 0.232

***

Compound: AcSm2ThSb4
Source: Alexandria
Functional: GGA-PBE
Structure: optimized geometry

## Properties
Space-group type = P2/m
Energy relative to the elements, uncorrected = -1.12 eV/atom
Density = 7.7 g/cm3

Unit cell a=4.563 b=7.867 c=7.919 alpha=70.55 beta=90.00 gamma=90.00
Element x y z (fractional)
1 Sb 0.500 0.756 0.256
2 Sb 0.000 0.762 0.738
3 Sb 0.000 0.238 0.262
4 Sb 0.500 0.244 0.744
5 Th 0.000 0.500 0.500
6 Sm 0.000 0.000 0.000
7 Sm 0.500 0.000 0.500
8 Ac 0.500 0.500 0.000

***

Compound: AcSmTlSb
Source: Alexandria
Functional: GGA-PBE
Structure: optimized geometry

## Properties
Space-group type = F-43m
Energy relative to the elements, uncorrected = -0.54 eV/atom
Density = 9.2 g/cm3

Unit cell a=5.645 b=5.645 c=5.645 alpha=60.00 beta=60.00 gamma=60.00
Element x y z (fractional)
1 Tl 0.000 0.000 0.000
2 Sb 0.500 0.500 0.500
3 Ac 0.250 0.250 0.250
4 Sm 0.750 0.750 0.750

***

Compound: Ac2SmTmSb4
Source: Alexandria
Functional: GGA-PBE
Structure: optimized geometry

## Properties
Space-group type = P2/m
Energy relative to the elements, uncorrected = -1.15 eV/atom
Density = 7.6 g/cm3

Unit cell a=4.608 b=7.968 c=7.976 alpha=70.51 beta=90.00 gamma=90.00
Element x y z (fractional)
1 Ac 0.000 0.000 0.000
2 Ac 0.500 0.000 0.500
3 Sb 0.000 0.729 0.753
4 Sb 0.500 0.274 0.738
5 Sb 0.000 0.271 0.247
6 Sb 0.500 0.726 0.262
7 Sm 0.500 0.500 0.000
8 Tm 0.000 0.500 0.500

***

Compound: AcSmTm2Sb4
Source: Alexandria
Functional: GGA-PBE
Structure: optimized geometry

## Properties
Space-group type = P2/m
Energy relative to the elements, uncorrected = -1.10 eV/atom
Density = 7.8 g/cm3

Unit cell a=4.497 b=7.765 c=7.788 alpha=70.51 beta=90.00 gamma=90.00
Element x y z (fractional)
1 Sb 0.500 0.765 0.253
2 Sb 0.000 0.771 0.735
3 Sb 0.500 0.235 0.747
4 Sb 0.000 0.229 0.265
5 Sm 0.000 0.500 0.500
6 Tm 0.500 0.000 0.500
7 Tm 0.000 0.000 0.000
8 Ac 0.500 0.500 0.000

***

Compound: AcSmZnSb
Source: Alexandria
Functional: GGA-PBE
Structure: optimized geometry

## Properties
Space-group type = F-43m
Energy relative to the elements, uncorrected = -0.52 eV/atom
Density = 8.0 g/cm3

Unit cell a=5.495 b=5.495 c=5.495 alpha=60.00 beta=60.00 gamma=60.00
Element x y z (fractional)
1 Ac 0.250 0.250 0.250
2 Sb 0.000 0.000 0.000
3 Zn 0.500 0.500 0.500
4 Sm 0.750 0.750 0.750

***

Compound: Ac4SnSb3
Source: Alexandria
Functional: GGA-PBE
Structure: optimized geometry

## Properties
Space-group type = Pm-3m
Energy relative to the elements, uncorrected = -1.03 eV/atom
Density = 7.4 g/cm3

Unit cell a=6.799 b=6.799 c=6.799 alpha=90.00 beta=90.00 gamma=90.00
Element x y z (fractional)
1 Ac 0.000 0.500 0.000
2 Ac 0.500 0.000 0.000
3 Ac 0.000 0.000 0.500
4 Ac 0.500 0.500 0.500
5 Sb 0.000 0.500 0.500
6 Sb 0.500 0.500 0.000
7 Sb 0.500 0.000 0.500
8 Sn 0.000 0.000 0.000

***

Compound: Ac8Sn5Sb
Source: Alexandria
Functional: GGA-PBE
Structure: optimized geometry

## Properties
Space-group type = I-4
Energy relative to the elements, uncorrected = -0.75 eV/atom
Density = 8.0 g/cm3

Unit cell a=8.817 b=8.817 c=8.817 alpha=109.44 beta=109.54 gamma=109.44
Element x y z (fractional)
1 Ac 0.761 0.250 0.374
2 Ac 0.124 0.750 0.512
3 Ac 0.124 0.749 0.014
4 Ac 0.265 0.251 0.375
5 Ac 0.625 0.890 0.876
6 Ac 0.626 0.387 0.876
7 Ac 0.488 0.613 0.239
8 Ac 0.986 0.110 0.735
9 Sb 0.250 0.500 0.750
10 Sn 0.001 0.375 0.125
11 Sn 0.750 0.625 0.626
12 Sn 0.374 0.124 0.999
13 Sn 0.500 0.000 0.500
14 Sn 0.875 0.876 0.250

***

Compound: AcSnSb
Source: Alexandria
Functional: GGA-PBE
Structure: optimized geometry

## Properties
Space-group type = F-43m
Energy relative to the elements, uncorrected = -0.24 eV/atom
Energy above the lowest structure with this stoichiometry = 0.457 eV per atom
Density = 6.6 g/cm3

Unit cell a=5.489 b=5.489 c=5.489 alpha=60.00 beta=60.00 gamma=60.00
Element x y z (fractional)
1 Sb 0.500 0.500 0.500
2 Sn 0.000 0.000 0.000
3 Ac 0.250 0.250 0.250

***

Compound: AcSn2Sb
Source: Alexandria
Functional: GGA-PBE
Structure: optimized geometry

## Properties
Space-group type = P4/mmm
Energy relative to the elements, uncorrected = -0.54 eV/atom
Energy above the lowest structure with this stoichiometry = 0.000 eV per atom
Density = 8.2 g/cm3

Unit cell a=5.096 b=4.841 c=4.841 alpha=90.00 beta=90.00 gamma=90.00
Element x y z (fractional)
1 Ac 0.500 0.500 0.500
2 Sn 0.000 0.500 0.000
3 Sn 0.000 0.000 0.500
4 Sb 0.500 0.000 0.000

***

Compound: Ac10Sn3Sb3
Source: Alexandria
Functional: GGA-PBE
Structure: optimized geometry

## Properties
Space-group type = P-62m
Energy relative to the elements, uncorrected = -0.74 eV/atom
Density = 8.2 g/cm3

Unit cell a=7.181 b=9.881 c=9.881 alpha=120.00 beta=90.00 gamma=90.00
Element x y z (fractional)
1 Sn 0.000 0.000 0.608
2 Sn 0.000 0.608 0.000
3 Sn 0.000 0.392 0.392
4 Ac 0.000 0.000 0.247
5 Ac 0.500 0.753 0.000
6 Ac 0.748 0.333 0.667
7 Ac 0.500 0.000 0.753
8 Ac 0.000 0.753 0.753
9 Ac 0.252 0.667 0.333
10 Ac 0.000 0.247 0.000
11 Ac 0.500 0.247 0.247
12 Ac 0.252 0.333 0.667
13 Ac 0.748 0.667 0.333
14 Sb 0.500 0.000 0.388
15 Sb 0.500 0.388 0.000
16 Sb 0.500 0.612 0.612

***

Compound: AcSnSb2
Source: Alexandria
Functional: GGA-PBE
Structure: optimized geometry

## Properties
Space-group type = P4/nmm
Energy relative to the elements, uncorrected = -0.55 eV/atom
Energy above the lowest structure with this stoichiometry = 0.043 eV per atom
Density = 7.7 g/cm3

Unit cell a=4.613 b=4.613 c=11.940 alpha=90.00 beta=90.00 gamma=90.00
Element x y z (fractional)
1 Sb 0.000 0.000 0.500
2 Sb 0.000 0.500 0.785
3 Sb 0.500 0.000 0.215
4 Sb 0.500 0.500 0.500
5 Ac 0.000 0.500 0.280
6 Ac 0.500 0.000 0.720
7 Sn 0.000 0.000 0.000
8 Sn 0.500 0.500 0.000

***

Compound: AcSnSb
Source: Alexandria
Functional: GGA-PBE
Structure: optimized geometry

## Properties
Space-group type = P3m1
Energy relative to the elements, uncorrected = -0.58 eV/atom
Energy above the lowest structure with this stoichiometry = 0.109 eV per atom
Density = 7.8 g/cm3

Unit cell a=4.267 b=5.179 c=5.179 alpha=120.00 beta=90.00 gamma=90.00
Element x y z (fractional)
1 Ac 0.000 0.000 0.000
2 Sn 0.499 0.333 0.667
3 Sb 0.501 0.667 0.333

***

Compound: AcSnSb2
Source: Alexandria
Functional: GGA-PBE
Structure: optimized geometry

## Properties
Space-group type = R-3m
Energy relative to the elements, uncorrected = -0.41 eV/atom
Energy above the lowest structure with this stoichiometry = 0.179 eV per atom
Density = 7.0 g/cm3

Unit cell a=4.554 b=4.554 c=8.247 alpha=73.97 beta=73.97 gamma=60.00
Element x y z (fractional)
1 Sn 0.000 0.000 0.000
2 Sb 0.256 0.256 0.231
3 Sb 0.744 0.744 0.769
4 Ac 0.500 0.500 0.500

***

Compound: AcSn2Sb2
Source: Alexandria
Functional: GGA-PBE
Structure: optimized geometry

## Properties
Space-group type = Cmcm
Energy relative to the elements, uncorrected = -0.45 eV/atom
Density = 7.6 g/cm3

Unit cell a=4.586 b=4.692 c=14.519 alpha=90.00 beta=99.09 gamma=90.00
Element x y z (fractional)
1 Sn 0.452 0.750 0.903
2 Sn 0.047 0.750 0.094
3 Sn 0.953 0.250 0.906
4 Sn 0.548 0.250 0.097
5 Sb 0.250 0.750 0.501
6 Sb 0.750 0.250 0.499
7 Sb 0.871 0.750 0.742
8 Sb 0.129 0.250 0.258
9 Ac 0.658 0.750 0.317
10 Ac 0.342 0.250 0.683

***

Compound: AcSnSb
Source: Alexandria
Functional: GGA-PBE
Structure: optimized geometry

## Properties
Space-group type = I4mm
Energy relative to the elements, uncorrected = -0.53 eV/atom
Energy above the lowest structure with this stoichiometry = 0.165 eV per atom
Density = 8.2 g/cm3

Unit cell a=4.106 b=4.106 c=6.333 alpha=108.91 beta=108.91 gamma=90.00
Element x y z (fractional)
1 Sn 0.310 0.310 0.621
2 Ac 0.613 0.613 0.226
3 Sb 0.927 0.927 0.853

***

Compound: AcSnSb2
Source: Alexandria
Functional: GGA-PBE
Structure: optimized geometry

## Properties
Space-group type = Fm-3m
Energy relative to the elements, uncorrected = -0.41 eV/atom
Energy above the lowest structure with this stoichiometry = 0.175 eV per atom
Density = 7.7 g/cm3

Unit cell a=5.634 b=5.634 c=5.634 alpha=60.00 beta=60.00 gamma=60.00
Element x y z (fractional)
1 Sb 0.250 0.250 0.250
2 Sb 0.750 0.750 0.750
3 Sn 0.000 0.000 0.000
4 Ac 0.500 0.500 0.500

***

Compound: Ac4SnSb
Source: Alexandria
Functional: GGA-PBE
Structure: optimized geometry

## Properties
Space-group type = C2/m
Energy relative to the elements, uncorrected = -0.44 eV/atom
Density = 8.1 g/cm3

Unit cell a=5.995 b=8.315 c=10.837 alpha=113.62 beta=106.06 gamma=90.00
Element x y z (fractional)
1 Ac 0.177 0.532 0.854
2 Ac 0.929 0.065 0.357
3 Ac 0.323 0.968 0.146
4 Ac 0.429 0.565 0.357
5 Ac 0.071 0.935 0.643
6 Ac 0.571 0.435 0.643
7 Ac 0.677 0.032 0.854
8 Ac 0.823 0.468 0.146
9 Sn 0.000 0.500 0.500
10 Sn 0.500 0.000 0.500
11 Sb 0.250 0.250 0.000
12 Sb 0.750 0.750 0.000

***

Compound: AcSnSb2
Source: Alexandria
Functional: GGA-PBE
Structure: optimized geometry

## Properties
Space-group type = P4/mmm
Energy relative to the elements, uncorrected = -0.49 eV/atom
Energy above the lowest structure with this stoichiometry = 0.104 eV per atom
Density = 7.9 g/cm3

Unit cell a=4.322 b=4.322 c=6.654 alpha=90.00 beta=90.00 gamma=90.00
Element x y z (fractional)
1 Ac 0.500 0.500 0.500
2 Sb 0.000 0.000 0.235
3 Sb 0.000 0.000 0.765
4 Sn 0.500 0.500 0.000

***

Compound: AcSnSb
Source: Alexandria
Functional: GGA-PBE
Structure: optimized geometry

## Properties
Space-group type = P-1
Energy relative to the elements, uncorrected = -0.69 eV/atom
Energy above the lowest structure with this stoichiometry = 0.000 eV per atom
Density = 8.1 g/cm3

Unit cell a=4.721 b=6.714 c=8.758 alpha=79.91 beta=75.51 gamma=45.28
Element x y z (fractional)
1 Sn 0.908 0.613 0.520
2 Sn 0.909 0.113 0.520
3 Ac 0.544 0.113 0.227
4 Ac 0.274 0.113 0.814
5 Sb 0.247 0.613 0.881
6 Sb 0.572 0.613 0.159

***

Compound: AcSnSb2
Source: Alexandria
Functional: GGA-PBE
Structure: optimized geometry

## Properties
Space-group type = P4/mmm
Energy relative to the elements, uncorrected = -0.57 eV/atom
Energy above the lowest structure with this stoichiometry = 0.020 eV per atom
Density = 8.1 g/cm3

Unit cell a=4.568 b=5.144 c=5.144 alpha=90.00 beta=90.00 gamma=90.00
Element x y z (fractional)
1 Sb 0.000 0.500 0.000
2 Sb 0.000 0.000 0.500
3 Ac 0.500 0.500 0.500
4 Sn 0.500 0.000 0.000

***

Compound: AcSnSb2
Source: Alexandria
Functional: GGA-PBE
Structure: optimized geometry

## Properties
Space-group type = I4/mcm
Energy relative to the elements, uncorrected = -0.59 eV/atom
Energy above the lowest structure with this stoichiometry = 0.000 eV per atom
Density = 7.8 g/cm3

Unit cell a=6.893 b=6.892 c=6.892 alpha=70.46 beta=70.56 gamma=109.44
Element x y z (fractional)
1 Sn 0.500 0.250 0.250
2 Sn 0.500 0.750 0.750
3 Ac 0.000 0.750 0.250
4 Ac 0.000 0.250 0.750
5 Sb 0.500 0.295 0.795
6 Sb 0.500 0.705 0.205
7 Sb 0.089 0.795 0.705
8 Sb 0.911 0.205 0.295